(1)
VASP calculation (SCAN) on a PBEsol-optimized structure of InMoHSeO7.

a b c (Å): 20.3163 5.5645 13.8359
angles (deg): 90.00 132.34 90.00
Space group C2/c (No. 15)
Unique sites:
In 0.2324 0.1497 0.3686 (multiplicity 8)
Mo 0.1009 0.1400 0.9081 (multiplicity 8)
H 0.0315 0.2773 0.2330 (multiplicity 8)
Se 0.1173 0.3504 0.6716 (multiplicity 8)
O 0.0000 0.1725 0.2500 (multiplicity 4)
O 0.0000 0.2890 0.7500 (multiplicity 4)
O 0.0617 0.0581 0.9795 (multiplicity 8)
O 0.1191 0.3860 0.2383 (multiplicity 8)
O 0.1359 0.1361 0.7807 (multiplicity 8)
O 0.1617 0.3989 0.9927 (multiplicity 8)
O 0.1868 0.0977 0.4746 (multiplicity 8)
O 0.2228 0.3371 0.7306 (multiplicity 8)

Summary:
Magnetic moment: 0.0 μB/f.u.
E_tot: -13.88 eV per atom



(2)
VASP calculation (SCAN) on a PBEsol-optimized structure of InMoH2Pd.

a b c (Å): 3.6980 3.6980 5.1601
angles (deg): 90.00 90.00 90.00
Space group P4/mmm (No. 123)
Unique sites:
In 0.0000 0.0000 0.0000 (multiplicity 1)
Mo 0.5000 0.5000 0.0000 (multiplicity 1)
H 0.0000 0.5000 0.5000 (multiplicity 2)
Pd 0.0000 0.0000 0.5000 (multiplicity 1)

Summary:
Magnetic moment: 1.9 μB/f.u.
E_tot: -20.78 eV per atom



(3)
VASP calculation (SCAN) on a PBEsol-optimized structure of In2HN.

a b c (Å): 4.5743 4.5743 11.8437
angles (deg): 90.00 90.00 90.00
Space group I-42d (No. 122)
Unique sites:
In 0.2366 0.2500 0.1250 (multiplicity 8)
H 0.0000 0.0000 0.0000 (multiplicity 4)
N 0.0000 0.0000 0.5000 (multiplicity 4)

Summary:
Magnetic moment: 0.0 μB/f.u.
E_tot: -19.48 eV per atom